# 1
Y2PuTl: relaxed, PBE.

Cell and atoms, written as POSCAR:
```
Y2PuTl
1.0
4.9452 0.0000 0.0000
0.0000 4.9452 0.0000
0.0000 0.0000 4.6169
Y Pu Tl
2 1 1
Direct
0.0000 0.5000 0.0000
0.5000 0.0000 0.0000
0.0000 0.0000 0.5000
0.5000 0.5000 0.5000
```

Energy relative to the elements, eV per atom: -0.07
Spin magnetization, μB/f.u.: 6.8
Distance to the lowest polymorph of the same formula, meV per atom: 8
Calculated volume, Å³ per cell: 112.9
Uncorrected energy, eV/atom: -7.478

=====

# 2
Y5PuTl6: relaxed, PBE.

Cell and atoms, written as POSCAR:
```
Y5PuTl6
1.0
4.6638 -8.0731 0.0000
4.6638 8.0731 0.0000
-3.0949 0.0000 4.3959
Y Pu Tl
5 1 6
Direct
0.0000 0.0000 0.0000
0.1694 0.8306 0.5000
0.3404 0.6596 0.0000
0.6596 0.3404 0.0000
0.8306 0.1694 0.5000
0.5000 0.5000 0.5000
0.0756 0.4141 0.2449
0.2391 0.2391 0.7393
0.4141 0.0756 0.2449
0.5859 0.9244 0.7551
0.7609 0.7609 0.2607
0.9244 0.5859 0.7551
```

Energy relative to the elements, eV per atom: -0.31
Spin magnetization, μB/f.u.: 6.4
Calculated volume, Å³ per cell: 331.0
Uncorrected energy, eV/atom: -5.377

=====

# 3
YPuTl3: relaxed, PBE.

Cell and atoms, written as POSCAR:
```
YPuTl3
1.0
7.8012 0.0000 0.0000
-3.9006 6.7560 0.0000
0.0000 0.0000 5.7679
Y Pu Tl
2 2 6
Direct
0.3333 0.6667 0.2500
0.6667 0.3333 0.7500
0.0000 0.0000 0.0000
0.0000 0.0000 0.5000
0.2023 0.4046 0.7500
0.2023 0.7977 0.7500
0.4046 0.2023 0.2500
0.5954 0.7977 0.7500
0.7977 0.2023 0.2500
0.7977 0.5954 0.2500
```

Energy relative to the elements, eV per atom: 0.08
Spin magnetization, μB/f.u.: 5.7
Calculated volume, Å³ per cell: 304.1
Uncorrected energy, eV/atom: -5.501

=====

# 4
YPuTl2: relaxed, PBE.

Cell and atoms, written as POSCAR:
```
YPuTl2
1.0
0.0000 3.8212 3.8212
3.8212 0.0000 3.8212
3.8212 3.8212 0.0000
Y Pu Tl
1 1 2
Direct
0.0000 0.0000 0.0000
0.5000 0.5000 0.5000
0.2500 0.2500 0.2500
0.7500 0.7500 0.7500
```

Energy relative to the elements, eV per atom: -0.16
Spin magnetization, μB/f.u.: 6.2
Distance to the lowest polymorph of the same formula, meV per atom: 24
Calculated volume, Å³ per cell: 111.6
Uncorrected energy, eV/atom: -6.543

=====

# 5
Y4PuTl5: relaxed, PBE.

Cell and atoms, written as POSCAR:
```
Y4PuTl5
1.0
3.7687 0.0000 0.0000
0.0000 3.7687 0.0000
0.0000 0.0000 19.4269
Y Pu Tl
4 1 5
Direct
0.0000 0.0000 0.0998
0.0000 0.0000 0.2984
0.0000 0.0000 0.7016
0.0000 0.0000 0.9002
0.0000 0.0000 0.5000
0.5000 0.5000 0.0000
0.5000 0.5000 0.1988
0.5000 0.5000 0.3957
0.5000 0.5000 0.6043
0.5000 0.5000 0.8012
```

Energy relative to the elements, eV per atom: -0.29
Spin magnetization, μB/f.u.: 6.2
Calculated volume, Å³ per cell: 275.9
Uncorrected energy, eV/atom: -5.496

=====

# 6
Y2PuTl: relaxed, PBE.

Cell and atoms, written as POSCAR:
```
Y2PuTl
1.0
1.7786 1.0269 10.8134
-1.7786 1.0269 10.8134
0.0000 -2.0538 10.8134
Y Pu Tl
2 1 1
Direct
0.2465 0.2465 0.2465
0.7535 0.7535 0.7535
0.0000 0.0000 0.0000
0.5000 0.5000 0.5000
```

Energy relative to the elements, eV per atom: -0.03
Spin magnetization, μB/f.u.: 6.5
Distance to the lowest polymorph of the same formula, meV per atom: 50
Calculated volume, Å³ per cell: 118.5
Uncorrected energy, eV/atom: -7.436

=====

# 7
YPuTl2: relaxed, PBE.

Cell and atoms, written as POSCAR:
```
YPuTl2
1.0
3.4112 0.0000 0.0000
0.0000 3.4112 0.0000
0.0000 0.0000 9.3330
Y Pu Tl
1 1 2
Direct
0.0000 0.0000 0.0000
0.0000 0.0000 0.5000
0.5000 0.5000 0.2467
0.5000 0.5000 0.7533
```

Energy relative to the elements, eV per atom: -0.19
Spin magnetization, μB/f.u.: 6.2
Distance to the lowest polymorph of the same formula, meV per atom: 0
Calculated volume, Å³ per cell: 108.6
Uncorrected energy, eV/atom: -6.568

=====

# 8
Y2PuTl: relaxed, PBE.

Cell and atoms, written as POSCAR:
```
Y2PuTl
1.0
1.7860 1.0311 10.7480
-1.7860 1.0311 10.7480
0.0000 -2.0623 10.7480
Y Pu Tl
2 1 1
Direct
0.0000 0.0000 0.0000
0.1735 0.1735 0.1735
0.4197 0.4197 0.4197
0.5868 0.5868 0.5868
```

Energy relative to the elements, eV per atom: -0.04
Spin magnetization, μB/f.u.: 6.6
Distance to the lowest polymorph of the same formula, meV per atom: 44
Calculated volume, Å³ per cell: 118.8
Uncorrected energy, eV/atom: -7.442